Pr2Sm4Sb3N2 | PBE | optimized geometry

Cell lengths 4.7723, 4.7723, 13.4245 Å; angles 100.24, 100.24, 90.00 degrees
Element x y z (fractional)
Pr  0.3068  0.3068  0.6136
Sm  0.4177  0.9177  0.8354
Pr  0.6932  0.6932  0.3864
Sm  0.5823  0.0823  0.1646
Sm  0.0823  0.5823  0.1646
N  0.6014  0.6014  0.2029
Sm  0.9177  0.4177  0.8354
N  0.3986  0.3986  0.7971
Sb  0.0000  0.0000  0.0000
Sb  0.1769  0.1769  0.3539
Sb  0.8231  0.8231  0.6461

Its density of states at the Fermi level is 6.0 states/eV/cell. The total DFT energy (no corrections) is -6.387 eV per atom. For the uncorrected formation energy, the calculation gives -1.16 eV per atom. For the total magnetization, the calculation gives 0.00 Bohr magnetons per cell.